DFT (meta-GGA SCAN) results for a PBEsol-optimized structure of YSeF.

Results
The value obtained for the density is 4.85 g/cm3. As for the total energy: -20.34 eV/atom. The calculation puts the energy relative to the elements, uncorrected at -3.1819 eV/atom. Its space-group type is No. 62.

a = 11.377 Å, b = 4.049 Å, c = 5.559 Å
α = 90.00°, β = 90.00°, γ = 90.00°
Sites, in units of the cell vectors:
Y 0.146 0.250 0.013
Y 0.354 0.750 0.513
Y 0.646 0.250 0.487
Y 0.854 0.750 0.987
Se 0.168 0.250 0.513
Se 0.332 0.750 0.013
Se 0.668 0.250 0.987
Se 0.832 0.750 0.487
F 0.057 0.750 0.021
F 0.443 0.250 0.521
F 0.557 0.750 0.479
F 0.943 0.250 0.979

***

DFT (meta-GGA SCAN) results for a PBEsol-optimized structure of YSeF.

Results
The value obtained for the density is 4.96 g/cm3. As for the total energy: -20.34 eV/atom. The calculation puts the energy relative to the elements, uncorrected at -3.1833 eV/atom. Its space-group type is No. 11.

a = 9.905 Å, b = 4.042 Å, c = 12.907 Å
α = 90.00°, β = 104.60°, γ = 90.00°
Sites, in units of the cell vectors:
Y 0.039 0.250 0.380
Y 0.115 0.750 0.139
Y 0.378 0.250 0.886
Y 0.457 0.750 0.627
Y 0.543 0.250 0.373
Y 0.622 0.750 0.114
Y 0.885 0.250 0.861
Y 0.961 0.750 0.620
Se 0.161 0.250 0.989
Se 0.242 0.750 0.735
Se 0.329 0.250 0.482
Se 0.411 0.750 0.229
Se 0.589 0.250 0.771
Se 0.671 0.750 0.518
Se 0.758 0.250 0.265
Se 0.839 0.750 0.011
F 0.024 0.250 0.552
F 0.078 0.250 0.205
F 0.094 0.750 0.310
F 0.449 0.750 0.956
F 0.551 0.250 0.044
F 0.906 0.250 0.690
F 0.922 0.750 0.795
F 0.976 0.750 0.448

***

DFT (meta-GGA SCAN) results for a PBEsol-optimized structure of ZnSe2F.

Results
The value obtained for the density is 5.27 g/cm3. As for the total energy: -14.68 eV/atom. The calculation puts the energy relative to the elements, uncorrected at -0.3735 eV/atom. Its space-group type is No. 122.

a = 9.315 Å, b = 9.315 Å, c = 9.315 Å
α = 154.21°, β = 154.21°, γ = 36.79°
Sites, in units of the cell vectors:
Zn 0.000 0.000 0.000
Zn 0.750 0.250 0.500
Se 0.038 0.625 0.913
Se 0.375 0.288 0.413
Se 0.712 0.125 0.087
Se 0.875 0.962 0.587
F 0.250 0.750 0.500
F 0.500 0.500 0.000

***

DFT (meta-GGA SCAN) results for a PBEsol-optimized structure of ZrSe2F.

Results
The value obtained for the density is 6.21 g/cm3. As for the total energy: -18.59 eV/atom. The calculation puts the energy relative to the elements, uncorrected at 0.0072 eV/atom. Its space-group type is No. 166.

a = 9.458 Å, b = 9.458 Å, c = 9.458 Å
α = 18.16°, β = 18.16°, γ = 18.16°
Sites, in units of the cell vectors:
Zr 0.000 0.000 0.000
Se 0.096 0.096 0.096
Se 0.904 0.904 0.904
F 0.500 0.500 0.500

***

DFT (meta-GGA SCAN) results for a PBEsol-optimized structure of ZrSeF2.

Results
The value obtained for the density is 4.26 g/cm3. As for the total energy: -16.01 eV/atom. The calculation puts the energy relative to the elements, uncorrected at -1.5412 eV/atom. Its space-group type is No. 166.

a = 10.221 Å, b = 10.221 Å, c = 10.221 Å
α = 17.17°, β = 17.17°, γ = 17.17°
Sites, in units of the cell vectors:
Zr 0.000 0.000 0.000
Se 0.500 0.500 0.500
F 0.064 0.064 0.064
F 0.936 0.936 0.936

***

DFT (meta-GGA SCAN) results for a PBEsol-optimized structure of SiF4.

Results
The value obtained for the density is 2.22 g/cm3. As for the total energy: -8.11 eV/atom. The calculation puts the energy relative to the elements, uncorrected at -3.2781 eV/atom. Its space-group type is No. 217.

a = 4.660 Å, b = 4.660 Å, c = 4.660 Å
α = 109.47°, β = 109.47°, γ = 109.47°
Sites, in units of the cell vectors:
Si 0.000 0.000 0.000
F 0.000 0.000 0.662
F 0.000 0.662 0.000
F 0.338 0.338 0.338
F 0.662 0.000 0.000